Computed, not measured: a PBEsol-optimized structure of YTc3Cl at the meta-GGA SCAN level of DFT. Values from VASP.

Geometry as Quantum ESPRESSO input:
```
&SYSTEM
  ibrav = 0, nat = 5, ntyp = 3
/
ATOMIC_SPECIES
Tc 98.00 Tc.upf
Y 88.91 Y.upf
Cl 35.45 Cl.upf
CELL_PARAMETERS angstrom
-2.963 -1.591 2.807
2.646 -3.380 0.877
1.847 2.289 3.247
ATOMIC_POSITIONS angstrom
Tc -1.482 -0.796 1.404
Tc 0.924 1.144 1.623
Tc 1.323 -1.690 0.438
Y 0.765 -1.341 3.466
Cl 0.000 0.000 0.000
```

Results
raw formation energy = 0.6116 eV/atom
crystal system = cubic
energy = -27.59 eV/atom
size of the total moment = 0.023 μB per cell